Entry from Alexandria via LeMat-Bulk: an optimized crystal structure of RbAg2AsF6 (GGA-PBE).

## Properties
DFT total energy (eV for the cell shown): -40.5
DOS at the Fermi energy (states/eV/f.u.): 0.00

Unit cell a=6.102 b=6.194 c=6.404 alpha=64.65 beta=61.68 gamma=63.42
Space group P1 (No. 1)
Unique sites:
Rb (0.000, 0.000, 0.000)
Ag (0.326, 0.224, 0.209)
Ag (0.746, 0.721, 0.755)
As (0.433, 0.507, 0.516)
F (0.173, 0.355, 0.559)
F (0.192, 0.587, 0.828)
F (0.213, 0.799, 0.378)
F (0.566, 0.092, 0.863)
F (0.622, 0.746, 0.443)
F (0.623, 0.443, 0.161)


Entry from Alexandria via LeMat-Bulk: an optimized crystal structure of Rb2AgAsF6 (GGA-PBE).

## Properties
DFT total energy (eV for the cell shown): -169.9
DOS at the Fermi energy (states/eV/f.u.): 0.00

Unit cell a=9.023 b=9.023 c=9.023 alpha=90.00 beta=90.00 gamma=90.00
Space group Fm-3m (No. 225)
Unique sites:
Rb (0.250, 0.250, 0.250)
Ag (0.000, 0.000, 0.000)
As (0.000, 0.000, 0.500)
F (0.000, 0.000, 0.271)


Entry from Alexandria via LeMat-Bulk: an optimized crystal structure of Rb2AgAsF (GGA-PBE).

## Properties
DFT total energy (eV for the cell shown): -13.1
DOS at the Fermi energy (states/eV/f.u.): 5.32

Unit cell a=6.560 b=6.560 c=4.192 alpha=90.00 beta=90.00 gamma=90.00
Space group P4/mmm (No. 123)
Unique sites:
Rb (0.000, 0.500, 0.000)
Ag (0.000, 0.000, 0.000)
As (0.500, 0.500, 0.500)
F (0.000, 0.000, 0.500)


Entry from Alexandria via LeMat-Bulk: an optimized crystal structure of RbAg2AsF8 (GGA-PBE).

## Properties
DFT total energy (eV for the cell shown): -47.5

Unit cell a=5.3089 b=5.3089 c=8.2498 alpha=90.00 beta=90.00 gamma=120.00
Space group P-3m1 (No. 164)
Unique sites:
Rb (0.0000, 0.0000, 0.0000)
Ag (0.3333, 0.6667, 0.2247)
As (0.0000, 0.0000, 0.5000)
F (0.1563, 0.3127, 0.6262)
F (0.3333, 0.6667, 0.9659)


Entry from Alexandria via LeMat-Bulk: an optimized crystal structure of AgAs2RhF (GGA-PBE).

## Properties
DFT total energy (eV for the cell shown): -19.6
DOS at the Fermi energy (states/eV/f.u.): 3.77

Unit cell a=4.468 b=4.468 c=4.386 alpha=90.00 beta=90.00 gamma=90.00
Space group P4/mmm (No. 123)
Unique sites:
Ag (0.000, 0.000, 0.000)
As (0.000, 0.500, 0.500)
Rh (0.500, 0.500, 0.000)
F (0.000, 0.000, 0.500)


Entry from Alexandria via LeMat-Bulk: an optimized crystal structure of AgAsSe2F (GGA-PBE).

## Properties
Distance to the lowest polymorph of the same formula (eV per atom): 0.304
DFT total energy (eV for the cell shown): -13.1
DOS at the Fermi energy (states/eV/f.u.): 6.79

Unit cell a=5.015 b=5.015 c=5.093 alpha=90.00 beta=90.00 gamma=90.00
Space group P4/mmm (No. 123)
Unique sites:
Ag (0.000, 0.000, 0.000)
As (0.000, 0.000, 0.500)
Se (0.000, 0.500, 0.000)
F (0.500, 0.500, 0.500)


Entry from Alexandria via LeMat-Bulk: an optimized crystal structure of AgAs2SeF (GGA-PBE).

## Properties
Distance to the lowest polymorph of the same formula (eV per atom): 0.000
DFT total energy (eV for the cell shown): -15.8
DOS at the Fermi energy (states/eV/f.u.): 2.58

Unit cell a=4.341 b=4.341 c=5.375 alpha=90.00 beta=90.00 gamma=90.00
Space group P4/mmm (No. 123)
Unique sites:
Ag (0.000, 0.000, 0.000)
As (0.000, 0.500, 0.500)
Se (0.500, 0.500, 0.000)
F (0.500, 0.500, 0.500)


Entry from Alexandria via LeMat-Bulk: an optimized crystal structure of AgAsSe2F (GGA-PBE).

## Properties
Distance to the lowest polymorph of the same formula (eV per atom): 0.000
DFT total energy (eV for the cell shown): -14.6
DOS at the Fermi energy (states/eV/f.u.): 3.67

Unit cell a=5.063 b=5.063 c=4.080 alpha=90.00 beta=90.00 gamma=90.00
Space group P4/mmm (No. 123)
Unique sites:
Ag (0.000, 0.000, 0.000)
As (0.500, 0.500, 0.000)
Se (0.000, 0.500, 0.500)
F (0.500, 0.500, 0.500)


Going through the records in order, we get energy relative to the elements, uncorrected values of -1.792 -2.181 -0.363 -1.766 0.362 0.652 0.339 0.348 eV per atom.